# CePdS3

A geometry-optimized CePdS3 structure (PBE, Alexandria via LeMat-Bulk).

a = 11.1323 Å, b = 3.9028 Å, c = 9.1893 Å
α = 90.00°, β = 90.00°, γ = 90.00°
Space group Pnma (No. 62)
Symmetry-distinct sites (fractional):
Ce 0.1799 0.2500 0.0322 [4 per cell]
Pd 0.0314 0.7500 0.6724 [4 per cell]
S 0.0383 0.7500 0.1598 [4 per cell]
S 0.1282 0.2500 0.5208 [4 per cell]
S 0.2053 0.7500 0.8164 [4 per cell]

Calculated values
For the formation energy (no corrections), the calculation gives -1.077 eV per atom. The spin magnetization is 0.12 μB/f.u.

=====

# TbEr3Te4

A geometry-optimized TbEr3Te4 structure (PBE, Alexandria via LeMat-Bulk).

a = 6.1204 Å, b = 6.1204 Å, c = 12.2746 Å
α = 90.00°, β = 90.00°, γ = 90.00°
Space group I4/mmm (No. 139)
Symmetry-distinct sites (fractional):
Tb 0.0000 0.0000 0.0000 [2 per cell]
Er 0.0000 0.0000 0.5000 [2 per cell]
Er 0.0000 0.5000 0.2500 [4 per cell]
Te 0.0000 0.0000 0.2520 [4 per cell]
Te 0.0000 0.5000 0.0000 [4 per cell]

Calculated values
For the formation energy (no corrections), the calculation gives -1.229 eV per atom. The spin magnetization is 0.00 μB/f.u.

=====

Number 1: excess energy over the best structure of this formula in the dataset 0 meV per atom. Number 2: excess energy over the best structure of this formula in the dataset 4 meV per atom.